DFT (PBE) results for an optimized crystal structure of CsPtPb2.

The structure belongs to space group Pmmn (No. 59, origin choice 2); the cell edges are 4.0432, 8.5249 and 8.1083 Å and the angles 90.00°, 90.00° and 90.00°. The distinct sites, in fractional coordinates, are Cs at (0.2500, 0.2500, 0.1015), Pt at (0.2500, 0.7500, 0.4776) and Pb at (0.2500, 0.0501, 0.6559).

The density of states at the Fermi level comes out at 0.89 states/eV/f.u. The calculation puts the total magnetization at 0.00 μB per cell. For the total DFT energy (no corrections), the calculation gives -3.82 eV/atom. The energy relative to the elements is -0.24 eV per atom.

---

DFT (PBE) results for an optimized crystal structure of CsPt4Pb4.

The structure belongs to space group P4_2/n (No. 86, origin choice 2); the cell edges are 9.5127, 9.5127 and 5.5471 Å and the angles 90.00°, 90.00° and 90.00°. The distinct sites, in fractional coordinates, are Cs at (0.2500, 0.2500, 0.2500), Pt at (0.0772, 0.9206, 0.1550) and Pb at (0.1158, 0.6271, 0.1489).

The density of states at the Fermi level comes out at 1.90 states/eV/f.u. The calculation puts the total magnetization at 0.00 μB per cell. For the total DFT energy (no corrections), the calculation gives -4.64 eV/atom. The energy relative to the elements is -0.22 eV per atom.

---

DFT (PBE) results for an optimized crystal structure of Cs2PtPb2.

The structure belongs to space group C2/m (No. 12); the cell edges are 15.3865, 4.5962 and 13.4219 Å and the angles 90.00°, 120.76° and 90.00°. The distinct sites, in fractional coordinates, are Cs at (0.0122, 0.0000, 0.1558), Cs at (0.2115, 0.0000, 0.6202), Pt at (0.1730, 0.5000, 0.8306), Pb at (0.0015, 0.5000, 0.3832) and Pb at (0.2112, 0.5000, 0.0641).

The density of states at the Fermi level comes out at 2.72 states/eV/f.u. The calculation puts the total magnetization at 0.00 μB per cell. Its relative energy among the computed polymorphs is 0.0 kJ/mol of atoms. For the total DFT energy (no corrections), the calculation gives -3.20 eV/atom. The energy relative to the elements is -0.16 eV per atom.

---

DFT (PBE) results for an optimized crystal structure of Cs2Pt2Pb.

The structure belongs to space group P4/mbm (No. 127); the cell edges are 7.3318, 7.3318 and 5.9084 Å and the angles 90.00°, 90.00° and 90.00°. The distinct sites, in fractional coordinates, are Cs at (0.1767, 0.3233, 0.0000), Pt at (0.1259, 0.6259, 0.5000) and Pb at (0.0000, 0.0000, 0.5000).

The density of states at the Fermi level comes out at 3.99 states/eV/f.u. The calculation puts the total magnetization at 0.00 μB per cell. Its relative energy among the computed polymorphs is 16.4 kJ/mol of atoms. For the total DFT energy (no corrections), the calculation gives -3.48 eV/atom. The energy relative to the elements is 0.02 eV per atom.

---

Question: Look up the energy relative to the elements of the third one.
Answer: -0.16 eV per atom